SrLi2Br: PBEsol geometry, SCAN.

Unit cell a=3.9281 b=5.9446 c=6.3948 alpha=117.70 beta=90.00 gamma=90.00
Element x y z (fractional)
Sr  0.5000  0.0000  0.0000
Br  0.5000  0.5000  0.0000
Li  0.0000  0.5000  0.5000
Li  0.0000  0.0000  0.5000

Fermi-level density of states (states/eV/atom): 0.510
Magnetization (μB per cell): 0.2
Energy (eV per atom): -12.132

YFe2Br: PBEsol geometry, SCAN.

Unit cell a=3.2704 b=3.2704 c=8.4315 alpha=78.82 beta=78.82 gamma=60.00
Site moments in Bohr magnetons follow the coordinates.
Element x y z (fractional)
Br  0.0000  0.0000  0.0000  0.11
Fe  0.2573  0.2573  0.2281  3.18
Fe  0.7427  0.7427  0.7719  3.18
Y  0.5000  0.5000  0.5000  -0.36

Fermi-level density of states (states/eV/atom): 0.369
Magnetization (μB per cell): 5.9
Energy (eV per atom): -20.489

Fe2NiRh: PBEsol geometry, SCAN.

Unit cell a=2.5237 b=3.9271 c=4.9344 alpha=90.00 beta=104.01 gamma=90.00
Site moments in Bohr magnetons follow the coordinates.
Element x y z (fractional)
Fe  0.9467  0.0000  0.0037  2.96
Fe  0.7717  0.5000  0.2547  2.96
Ni  0.5571  0.0000  0.4842  0.91
Rh  0.2245  0.5000  0.7575  0.89

Calculated formation energy (eV/atom): -0.06
Fermi-level density of states (states/eV/atom): 0.870
Magnetization (μB per cell): 7.4

NaYN2: PBEsol geometry, SCAN.

Unit cell a=3.9554 b=3.9554 c=6.5187 alpha=72.34 beta=72.34 gamma=60.00
Site moments in Bohr magnetons follow the coordinates.
Element x y z (fractional)
Y  0.0000  0.0000  0.0000  -0.07
Na  0.5000  0.5000  0.5000  0.00
N  0.8955  0.8955  0.3136  0.14
N  0.1045  0.1045  0.6864  0.14

Fermi-level density of states (states/eV/atom): 0.425
Magnetization (μB per cell): 0.2
Energy (eV per atom): -11.739

InTcBr2: PBEsol geometry, SCAN.

Unit cell a=3.1550 b=3.1550 c=10.3159 alpha=81.20 beta=81.20 gamma=60.00
Element x y z (fractional)
Tc  0.0000  0.0000  0.0000
Br  0.9230  0.9230  0.2310
Br  0.0770  0.0770  0.7690
In  0.5000  0.5000  0.5000

Fermi-level density of states (states/eV/atom): 0.564
Magnetization (μB per cell): 0.0
Energy (eV per atom): -26.438

MnTlCd2: PBEsol geometry, SCAN.

Unit cell a=3.1108 b=3.1108 c=8.2477 alpha=90.00 beta=90.00 gamma=90.00
Site moments in Bohr magnetons follow the coordinates.
Element x y z (fractional)
Cd  0.0000  0.0000  0.9839  0.02
Cd  0.5000  0.5000  0.7271  -0.05
Mn  0.0000  0.0000  0.5130  4.03
Tl  0.5000  0.5000  0.2759  0.01

Calculated formation energy (eV/atom): 0.11
Fermi-level density of states (states/eV/atom): 0.556
Magnetization (μB per cell): 4.1

AlZnIn2: PBEsol geometry, SCAN.

Unit cell a=3.1450 b=5.1672 c=5.1672 alpha=103.41 beta=91.91 gamma=91.91
Element x y z (fractional)
Zn  0.5000  0.0000  0.0000
Al  0.5000  0.5000  0.5000
In  0.0000  0.5000  0.0000
In  0.0000  0.0000  0.5000

Calculated formation energy (eV/atom): 0.18
Fermi-level density of states (states/eV/atom): 0.404
Magnetization (μB per cell): 0.0

SrY2Zn: PBEsol geometry, SCAN.

Unit cell a=5.3956 b=5.3956 c=5.3956 alpha=60.00 beta=60.00 gamma=60.00
Element x y z (fractional)
Sr  0.0000  0.0000  0.0000
Y  0.2500  0.2500  0.2500
Y  0.7500  0.7500  0.7500
Zn  0.5000  0.5000  0.5000

Calculated formation energy (eV/atom): 0.20
Fermi-level density of states (states/eV/atom): 0.713
Magnetization (μB per cell): 0.0